CaPr3Bi2 | PBE | optimized geometry

As for the calculated formation energy: -637 meV per atom.

Cell: 4.709 4.709 9.076 Å, 90.00 90.00 90.00°
Positions (direct):
Ca: 0.500 0.500 0.000
Pr: 0.500 0.000 0.352
Pr: 0.000 0.500 0.648
Pr: 0.000 0.000 0.000
Bi: 0.500 0.000 0.719
Bi: 0.000 0.500 0.281

=====

K2NbSbO6 | PBE | optimized geometry

The value obtained for the uncorrected formation energy is -1995 meV per atom.

Cell: 5.706 5.706 5.706 Å, 60.00 60.00 90.00°
Positions (direct):
K: 0.750 0.250 0.500
K: 0.250 0.750 0.500
Nb: 0.000 0.000 0.000
Sb: 0.500 0.500 0.000
O: 0.250 0.250 0.499
O: 0.750 0.750 0.000
O: 0.250 0.750 0.000
O: 0.750 0.250 0.000
O: 0.250 0.250 0.000
O: 0.750 0.750 0.501

=====

SrCa4S5 | PBE | optimized geometry

The value obtained for the uncorrected formation energy is -2144 meV per atom.

Cell: 4.091 7.087 9.157 Å, 75.05 77.09 73.22°
Positions (direct):
Sr: 0.000 0.000 0.000
Ca: 0.599 0.203 0.599
Ca: 0.200 0.397 0.203
Ca: 0.800 0.603 0.797
Ca: 0.401 0.797 0.401
S: 0.203 0.901 0.693
S: 0.797 0.099 0.307
S: 0.395 0.314 0.895
S: 0.000 0.500 0.500
S: 0.605 0.686 0.105

=====

Ac3P2Pd5 | PBE | optimized geometry

As for the calculated formation energy: -732 meV per atom.

Cell: 6.395 9.095 9.095 Å, 75.51 69.42 69.42°
Positions (direct):
Ac: 0.250 0.000 0.000
Ac: 0.750 0.000 0.000
Ac: 0.376 0.423 0.825
Ac: 0.624 0.577 0.175
Ac: 0.876 0.825 0.423
Ac: 0.124 0.175 0.577
P: 0.150 0.712 0.988
P: 0.850 0.288 0.012
P: 0.650 0.988 0.712
P: 0.350 0.012 0.288
Pd: 0.250 0.500 0.500
Pd: 0.750 0.500 0.500
Pd: 0.497 0.753 0.753
Pd: 0.003 0.247 0.247
Pd: 0.503 0.247 0.247
Pd: 0.997 0.753 0.753
Pd: 0.126 0.527 0.220
Pd: 0.874 0.473 0.780
Pd: 0.626 0.220 0.527
Pd: 0.374 0.780 0.473

=====

FeReAsSe2 | PBE | optimized geometry

The value obtained for the uncorrected formation energy is 997 meV per atom. The energy relative to the lowest polymorph listed for this composition is 0.0000 eV per atom.

Cell: 4.923 4.923 4.792 Å, 90.00 90.00 90.00°
Positions (direct):
Re: 0.000 0.000 0.000
As: 0.000 0.000 0.500
Fe: 0.500 0.500 0.500
Se: 0.000 0.500 0.000
Se: 0.500 0.000 0.000

=====

DyY2Er2Mg5 | PBE | optimized geometry

As for the calculated formation energy: 77 meV per atom.

Cell: 5.039 10.578 10.578 Å, 90.00 90.00 90.00°
Positions (direct):
Dy: 0.000 0.000 0.000
Dy: 0.000 0.500 0.500
Y: 0.000 0.678 0.178
Y: 0.000 0.322 0.822
Y: 0.000 0.178 0.322
Y: 0.000 0.822 0.678
Er: 0.000 0.118 0.618
Er: 0.000 0.882 0.382
Er: 0.000 0.618 0.882
Er: 0.000 0.382 0.118
Mg: 0.500 0.198 0.069
Mg: 0.500 0.802 0.931
Mg: 0.500 0.069 0.802
Mg: 0.500 0.698 0.431
Mg: 0.500 0.931 0.198
Mg: 0.500 0.302 0.569
Mg: 0.500 0.569 0.698
Mg: 0.500 0.431 0.302
Mg: 0.500 0.500 0.000
Mg: 0.500 0.000 0.500